[1]
# AgBiAu3

An optimized crystal structure of AgBiAu3 (PBE-GGA, the Alexandria database).

Cell lengths 5.0648, 5.0648, 5.0648 Å; angles 90.00, 90.00, 90.00 degrees
Element x y z (fractional)
1 Ag 0.0000 0.0000 0.0000
2 Bi 0.5000 0.5000 0.5000
3 Au 0.0000 0.0000 0.5000
4 Au 0.0000 0.5000 0.0000
5 Au 0.5000 0.0000 0.0000

Output
calculated volume	129.93	Å³/cell
ΔH_f (0 K)	0.606	eV/atom
density	11.6	g cm⁻³
E	-0.0995	hartree per atom
DOS at the Fermi energy	2.81	states/eV/f.u.
energy above the most stable polymorph in this dataset	2.90	eV per formula unit
crystal system	cubic

---

[2]
# AcWN2

An optimized crystal structure of AcWN2 (PBE-GGA, the Alexandria database).

Cell lengths 2.9501, 2.9501, 6.1183 Å; angles 90.00, 90.00, 90.00 degrees
Element x y z (fractional)
1 Ac 0.0000 0.0000 0.0000
2 W 0.0000 0.0000 0.5000
3 N 0.5000 0.5000 0.2984
4 N 0.5000 0.5000 0.7016

Output
calculated volume	53.25	Å³/cell
density	13.7	g cm⁻³
E	-0.2964	hartree per atom
DOS at the Fermi energy	1.14	states/eV/f.u.
energy above the most stable polymorph in this dataset	1.35	eV per formula unit
raw formation energy	0.363	eV/atom
crystal system	tetragonal

---

[3]
# Ho4MgAg3

An optimized crystal structure of Ho4MgAg3 (PBE-GGA, the Alexandria database).

Cell lengths 3.6584, 5.1624, 10.3154 Å; angles 90.00, 90.00, 90.00 degrees
Element x y z (fractional)
1 Ho 0.0000 0.0000 0.0000
2 Ho 0.0000 0.0000 0.5000
3 Ho 0.0000 0.5000 0.2417
4 Ho 0.0000 0.5000 0.7583
5 Mg 0.5000 0.5000 0.5000
6 Ag 0.5000 0.0000 0.2590
7 Ag 0.5000 0.0000 0.7410
8 Ag 0.5000 0.5000 0.0000

Output
calculated volume	194.82	Å³/cell
ΔH_f (0 K)	-0.252	eV/atom
density	8.6	g cm⁻³
E	-0.1400	hartree per atom
DOS at the Fermi energy	6.10	states/eV/f.u.
energy above the most stable polymorph in this dataset	0.00	eV per formula unit
crystal system	orthorhombic

---

[4]
# ScRe2NiBi

An optimized crystal structure of ScRe2NiBi (PBE-GGA, the Alexandria database).

Cell lengths 4.5694, 4.5694, 4.6999 Å; angles 90.00, 90.00, 90.00 degrees
Element x y z (fractional)
1 Sc 0.0000 0.0000 0.0000
2 Re 0.0000 0.5000 0.5000
3 Re 0.5000 0.0000 0.5000
4 Ni 0.0000 0.0000 0.5000
5 Bi 0.5000 0.5000 0.0000

Output
calculated volume	98.13	Å³/cell
ΔH_f (0 K)	0.909	eV/atom
density	11.6	g cm⁻³
E	-0.2671	hartree per atom
DOS at the Fermi energy	7.20	states/eV/f.u.
crystal system	tetragonal

---

[5]
# Dy4Ho5Er2

An optimized crystal structure of Dy4Ho5Er2 (PBE-GGA, the Alexandria database).

Cell lengths 12.4270, 12.4270, 12.4270 Å; angles 163.96, 137.77, 45.45 degrees
Element x y z (fractional)
1 Dy 0.0970 0.0970 0.0000
2 Dy 0.1931 0.5000 0.6931
3 Dy 0.8069 0.5000 0.3069
4 Dy 0.9030 0.9030 0.0000
5 Ho 0.1562 0.3547 0.8015
6 Ho 0.4469 0.6453 0.8015
7 Ho 0.5000 0.0000 0.5000
8 Ho 0.5531 0.3547 0.1985
9 Ho 0.8438 0.6453 0.1985
10 Er 0.2310 0.2310 0.0000
11 Er 0.7690 0.7690 0.0000

Output
calculated volume	355.85	Å³/cell
ΔH_f (0 K)	0.247	eV/atom
density	8.4	g cm⁻³
E	-0.1594	hartree per atom
DOS at the Fermi energy	16.71	states/eV/f.u.
energy above the most stable polymorph in this dataset	2.06	eV per formula unit
crystal system	orthorhombic

---

[6]
# SrFeAg

An optimized crystal structure of SrFeAg (PBE-GGA, the Alexandria database).

Cell lengths 6.1171, 6.1171, 6.1171 Å; angles 146.07, 146.07, 48.75 degrees
Element x y z (fractional)
1 Sr 0.0000 0.0000 0.0000
2 Fe 0.2954 0.2954 0.0000
3 Ag 0.7068 0.7068 0.0000

Output
calculated volume	71.02	Å³/cell
ΔH_f (0 K)	0.423	eV/atom
density	5.9	g cm⁻³
E	-0.1436	hartree per atom
DOS at the Fermi energy	3.77	states/eV/f.u.
crystal system	tetragonal

---

[7]
# U3SnTe8

An optimized crystal structure of U3SnTe8 (PBE-GGA, the Alexandria database).

Cell lengths 8.7663, 8.7663, 14.2201 Å; angles 90.00, 90.00, 120.00 degrees
Element x y z (fractional)
1 U 0.1662 0.3324 0.0000
2 U 0.1662 0.8338 0.0000
3 U 0.3324 0.1662 0.5000
4 U 0.6676 0.8338 0.0000
5 U 0.8338 0.1662 0.5000
6 U 0.8338 0.6676 0.5000
7 Sn 0.3333 0.6667 0.2375
8 Sn 0.6667 0.3333 0.7375
9 Te 0.0000 0.0000 0.1211
10 Te 0.0000 0.0000 0.6211
11 Te 0.0034 0.5017 0.1188
12 Te 0.1591 0.3183 0.3855
13 Te 0.1591 0.8409 0.3855
14 Te 0.3183 0.1591 0.8855
15 Te 0.3333 0.6667 0.8799
16 Te 0.4983 0.5017 0.1188
17 Te 0.4983 0.9966 0.1188
18 Te 0.5017 0.0034 0.6188
19 Te 0.5017 0.4983 0.6188
20 Te 0.6667 0.3333 0.3799
21 Te 0.6817 0.8409 0.3855
22 Te 0.8409 0.1591 0.8855
23 Te 0.8409 0.6817 0.8855
24 Te 0.9966 0.4983 0.6188

Output
calculated volume	946.37	Å³/cell
density	6.5	g cm⁻³
E	-0.2099	hartree per atom
DOS at the Fermi energy	19.40	states/eV/f.u.
raw formation energy	-0.463	eV/atom
crystal system	hexagonal

---

[8]
# HoAlCd

An optimized crystal structure of HoAlCd (PBE-GGA, the Alexandria database).

Cell lengths 4.5306, 4.5306, 7.3020 Å; angles 90.00, 90.00, 90.00 degrees
Element x y z (fractional)
1 Ho 0.2500 0.7500 0.0000
2 Ho 0.7500 0.2500 0.0000
3 Al 0.2500 0.2500 0.2963
4 Al 0.7500 0.7500 0.7037
5 Cd 0.2500 0.2500 0.6718
6 Cd 0.7500 0.7500 0.3282

Output
calculated volume	149.89	Å³/cell
ΔH_f (0 K)	0.008	eV/atom
density	6.7	g cm⁻³
E	-0.1128	hartree per atom
DOS at the Fermi energy	2.24	states/eV/f.u.
crystal system	tetragonal